Here is a relaxed structure of ErZrRu from the Alexandria database. Energies are from PBE.

Unit cell a=3.3455 b=3.3455 c=6.1896 alpha=105.68 beta=105.68 gamma=90.00
Each line ends with the local moment (μB).
Positions (direct):
Ru1 0.6763 0.6763 0.3526  0.11
Er1 0.0189 0.0189 0.0378  0.31
Zr1 0.3048 0.3048 0.6096  0.33

Magnetization   1.018 μB per cell
Theoretical density   9.33 g/cm³
Energy relative to the lowest polymorph listed for this composition   0.00 kJ/mol of atoms
Energy relative to the elements   -0.308 eV/atom